Record 1
4
Lattice="0.0000 4.4649 4.4649 4.4649 0.0000 4.4649 4.4649 4.4649 0.0000" Properties=species:S:1:pos:R:3 comment="RbBaSrTl (PBE-GGA, relaxed)" e_tot_ev_per_atom=-1.79 e_form_mev_per_atom=-52.3 space_group="F-43m, No. 216" pbc="T T T"
Rb 0.0000 0.0000 0.0000
Ba 2.2325 2.2325 2.2325
Sr 6.6974 6.6974 6.6974
Tl 4.4649 4.4649 4.4649

---

Record 2
5
Lattice="6.9137 0.0000 0.0000 0.0000 6.9137 0.0000 0.0000 0.0000 6.6562" Properties=species:S:1:pos:R:3 comment="RbBa2SrTl (PBE-GGA, relaxed)" e_above_lowest_polymorph_mev_per_atom=0 e_tot_ev_per_atom=-1.83 e_form_mev_per_atom=-57.7 space_group="P4/mmm, No. 123" pbc="T T T"
Rb 0.0000 0.0000 0.0000
Ba 0.0000 3.4568 3.3281
Ba 3.4568 0.0000 3.3281
Sr 3.4568 3.4568 0.0000
Tl 3.4568 3.4568 3.3281

---

Record 3
12
Lattice="10.8742 0.0000 0.0000 0.0000 4.5063 0.0000 0.0000 0.0000 14.1335" Properties=species:S:1:pos:R:3 comment="RbBaTa (PBE-GGA, relaxed)" e_above_lowest_polymorph_mev_per_atom=427 e_tot_ev_per_atom=-3.98 e_form_mev_per_atom=932.5 space_group="Pnma, No. 62" pbc="T T T"
Rb 2.0411 1.1266 0.2489
Rb 3.3960 3.3797 7.3157
Rb 7.4782 1.1266 6.8178
Rb 8.8331 3.3797 13.8845
Ba 0.2705 1.1266 10.0373
Ba 5.1666 3.3797 2.9705
Ba 5.7076 1.1266 11.1630
Ba 10.6037 3.3797 4.0962
Ta 0.3127 1.1266 6.6276
Ta 5.1244 3.3797 13.6944
Ta 5.7499 1.1266 0.4391
Ta 10.5615 3.3797 7.5059

---

Record 4
6
Lattice="4.6585 0.0000 0.0000 2.3273 4.0466 0.0000 2.3239 1.3082 17.3762" Properties=species:S:1:pos:R:3 comment="RbBaTa (PBE-GGA, relaxed)" e_above_lowest_polymorph_mev_per_atom=79 e_tot_ev_per_atom=-4.33 e_form_mev_per_atom=585.1 space_group="P1, No. 1" pbc="T T T"
Rb 0.0000 0.0000 0.0000
Rb 4.6719 2.7486 13.2205
Ba 2.4098 1.3901 8.9168
Ba 2.4094 1.3880 4.3128
Ta 4.7396 2.7400 6.6164
Ta 7.0676 4.0850 6.6146